# 1
The following is a GGA-PBE calculation of crystalline YCoSeBr2 at its relaxed geometry, from Alexandria.

Cell and atoms, written as POSCAR:
```
YCoSeBr2
1.0
-0.5232 -2.3364 -4.0997
0.5030 -4.1290 2.2888
-4.9236 -0.1911 0.7373
Br Co Se Y
2 1 1 1
direct
0.0000 0.5000 0.0000
0.5000 0.0000 0.0000
0.0000 0.0000 0.0000
0.0000 0.0000 0.5000
0.5000 0.5000 0.5000
```

- excess energy over the best structure of this formula in the dataset (meV per atom) = 0
- total DFT energy (no corrections) (eV/atom) = -4.557

***

# 2
The following is a GGA-PBE calculation of crystalline YCoSe2Br at its relaxed geometry, from Alexandria.

Cell and atoms, written as POSCAR:
```
YCoSe2Br
1.0
5.5049 0.0000 0.0000
0.0000 5.5049 0.0000
0.0000 0.0000 5.4135
Br Y Se Co
1 1 2 1
direct
0.0000 0.0000 0.5000
0.0000 0.0000 0.0000
0.5000 0.0000 0.0000
0.0000 0.5000 0.0000
0.5000 0.5000 0.5000
```

- excess energy over the best structure of this formula in the dataset (meV per atom) = 515
- total DFT energy (no corrections) (eV/atom) = -4.480

***

# 3
The following is a GGA-PBE calculation of crystalline ZnCoSeBr2 at its relaxed geometry, from Alexandria.

Cell and atoms, written as POSCAR:
```
ZnCoSeBr2
1.0
5.0609 0.0000 0.0000
0.0000 5.0609 0.0000
0.0000 0.0000 5.0882
Br Zn Co Se
2 1 1 1
direct
0.5000 0.0000 0.0000
0.0000 0.5000 0.0000
0.0000 0.0000 0.0000
0.5000 0.5000 0.5000
0.0000 0.0000 0.5000
```

- excess energy over the best structure of this formula in the dataset (meV per atom) = 339
- total DFT energy (no corrections) (eV/atom) = -2.514

***

# 4
The following is a GGA-PBE calculation of crystalline ZnCoSeBr2 at its relaxed geometry, from Alexandria.

Cell and atoms, written as POSCAR:
```
ZnCoSeBr2
1.0
5.0372 0.0000 0.0000
0.0000 5.0372 0.0000
0.0000 0.0000 4.5449
Se Zn Br Co
1 1 2 1
direct
0.0000 0.0000 0.5000
0.5000 0.5000 0.5000
0.5000 0.0000 0.0000
0.0000 0.5000 0.0000
0.0000 0.0000 0.0000
```

- excess energy over the best structure of this formula in the dataset (meV per atom) = 0
- total DFT energy (no corrections) (eV/atom) = -2.852

***

# 5
The following is a GGA-PBE calculation of crystalline ZrCoSeBr2 at its relaxed geometry, from Alexandria.

Cell and atoms, written as POSCAR:
```
ZrCoSeBr2
1.0
4.6989 0.0000 0.0000
0.0000 4.6989 0.0000
0.0000 0.0000 4.8158
Zr Co Br Se
1 1 2 1
direct
0.5000 0.5000 0.5000
0.0000 0.0000 0.0000
0.5000 0.0000 0.0000
0.0000 0.5000 0.0000
0.0000 0.0000 0.5000
```

- excess energy over the best structure of this formula in the dataset (meV per atom) = 119
- total DFT energy (no corrections) (eV/atom) = -4.338

***

# 6
The following is a GGA-PBE calculation of crystalline ZrCoSeBr2 at its relaxed geometry, from Alexandria.

Cell and atoms, written as POSCAR:
```
ZrCoSeBr2
1.0
5.3739 0.0000 0.0000
0.0000 5.3739 0.0000
0.0000 0.0000 5.2022
Se Br Zr Co
1 2 1 1
direct
0.0000 0.0000 0.5000
0.0000 0.5000 0.0000
0.5000 0.0000 0.0000
0.0000 0.0000 0.0000
0.5000 0.5000 0.5000
```

- excess energy over the best structure of this formula in the dataset (meV per atom) = 0
- total DFT energy (no corrections) (eV/atom) = -4.457

***

# 7
The following is a GGA-PBE calculation of crystalline Co2SiBr at its relaxed geometry, from Alexandria.

Cell and atoms, written as POSCAR:
```
Co2SiBr
1.0
-3.0588 3.4107 -4.5954
-5.7000 2.0771 -2.3029
-3.7500 5.1234 -1.3398
Br Co Si
1 2 1
direct
0.7225 0.7225 0.7225
0.9672 0.9672 0.9672
0.2542 0.2542 0.2542
0.5561 0.5561 0.5561
```

- excess energy over the best structure of this formula in the dataset (meV per atom) = 173
- total DFT energy (no corrections) (eV/atom) = -5.101

***

# 8
The following is a GGA-PBE calculation of crystalline CoSiBr at its relaxed geometry, from Alexandria.

Cell and atoms, written as POSCAR:
```
CoSiBr
1.0
6.2160 0.0167 -0.0305
4.7148 4.0509 0.0305
-5.5998 -1.6727 2.1177
Si Co Br
1 1 1
direct
0.7816 0.7816 0.0000
0.2149 0.2149 0.0000
0.0035 0.0035 0.0000
```

- excess energy over the best structure of this formula in the dataset (meV per atom) = 311
- total DFT energy (no corrections) (eV/atom) = -4.697

***

# 9
The following is a GGA-PBE calculation of crystalline CoSiBr at its relaxed geometry, from Alexandria.

Cell and atoms, written as POSCAR:
```
CoSiBr
1.0
3.5310 0.0000 0.0000
-1.7655 3.0580 0.0000
0.0000 0.0000 5.5453
Co Si Br
1 1 1
direct
0.6667 0.3333 0.3759
0.3333 0.6667 0.5303
0.0000 0.0000 0.0938
```

- excess energy over the best structure of this formula in the dataset (meV per atom) = 361
- total DFT energy (no corrections) (eV/atom) = -4.647

***

# 10
The following is a GGA-PBE calculation of crystalline CoSi2Br at its relaxed geometry, from Alexandria.

Cell and atoms, written as POSCAR:
```
CoSi2Br
1.0
-0.5496 -6.6150 -2.0392
0.9409 -6.7907 1.1046
-2.5123 -6.4199 0.8324
Si Br Co
2 1 1
direct
0.4707 0.4707 0.4707
0.0293 0.0293 0.0293
0.2500 0.2500 0.2500
0.7500 0.7500 0.7500
```

- excess energy over the best structure of this formula in the dataset (meV per atom) = 0
- total DFT energy (no corrections) (eV/atom) = -4.781

***

# 11
The following is a GGA-PBE calculation of crystalline CoSiBr at its relaxed geometry, from Alexandria.

Cell and atoms, written as POSCAR:
```
CoSiBr
1.0
-1.7037 -1.6299 2.2054
2.4543 -2.6003 2.3362
2.8316 6.0725 6.8641
Si Co Br
2 2 2
direct
0.1037 0.2839 0.1071
0.8963 0.7161 0.8929
0.3889 0.7159 0.0765
0.6111 0.2841 0.9235
0.6912 0.1423 0.6856
0.3088 0.8577 0.3144
```

- excess energy over the best structure of this formula in the dataset (meV per atom) = 0
- total DFT energy (no corrections) (eV/atom) = -5.008

***

# 12
The following is a GGA-PBE calculation of crystalline Co2SiBr at its relaxed geometry, from Alexandria.

Cell and atoms, written as POSCAR:
```
Co2SiBr
1.0
-1.7586 -0.5994 5.8606
-3.4820 -2.9156 4.1440
2.2478 -2.0120 0.4580
Co Si Br
2 1 1
direct
0.0042 0.0042 0.1252
0.8294 0.8294 0.6237
0.4594 0.4594 0.6245
0.2071 0.2071 0.1265
```

- excess energy over the best structure of this formula in the dataset (meV per atom) = 6
- total DFT energy (no corrections) (eV/atom) = -5.267